The following is a GGA-PBE calculation of a relaxed structure of FeCuSb2P, from Alexandria via LeMat-Bulk.

Output
Raw total energy: -4.502 eV/atom
Total magnetization: 0.524 μB per cell
Raw formation energy: 357 kJ/mol of formula units

abc: 4.8104 4.5479 4.8104
angles: 90.00 90.00 90.00
Each line ends with the local moment (μB).
Positions (direct):
Sb 0.0000 0.0000 0.5000  -0.03
Sb 0.5000 0.0000 0.0000  -0.04
Fe 0.0000 0.0000 0.0000  0.62
P 0.5000 0.5000 0.5000  -0.01
Cu 0.0000 0.5000 0.0000  0.09